# 1
# CaCd6Hg6

CaCd6Hg6 after structural relaxation (PBE-GGA, Alexandria).

```
CaCd6Hg6
1.0
-3.045 5.044 5.203
3.045 -5.044 5.203
3.045 5.044 -5.203
Ca Cd Hg
1 6 6
direct
0.000 0.000 0.000
0.000 0.000 0.500
0.000 0.500 0.000
0.260 0.500 0.760
0.500 0.000 0.000
0.500 0.500 0.500
0.740 0.500 0.240
0.159 0.659 0.500
0.320 0.320 0.000
0.352 0.000 0.352
0.648 0.000 0.648
0.680 0.680 0.000
0.841 0.341 0.500
```

## Properties
Polymorph energy (0 for the lowest one) in meV/atom: 0
Fermi-level density of states in states/eV/cell: 4.47
Space group: Immm
Spin magnetization in μB/cell: 0.000
ρ in g/cm3: 9.96

# 2
# Ga12Sn5Se3

Ga12Sn5Se3 after structural relaxation (PBE-GGA, Alexandria).

```
Ga12Sn5Se3
1.0
-8.139 8.139 8.139
8.139 -8.139 8.139
8.139 8.139 -8.139
Ga Sn Se
48 20 12
direct
0.070 0.234 0.151
0.070 0.336 0.920
0.080 0.651 0.417
0.080 0.930 0.664
0.083 0.734 0.664
0.083 0.849 0.420
0.151 0.070 0.234
0.151 0.580 0.917
0.164 0.234 0.583
0.164 0.430 0.580
0.234 0.151 0.070
0.234 0.583 0.164
0.266 0.336 0.917
0.266 0.430 0.349
0.336 0.917 0.266
0.336 0.920 0.070
0.349 0.266 0.430
0.349 0.583 0.920
0.417 0.080 0.651
0.417 0.836 0.766
0.420 0.083 0.849
0.420 0.836 0.570
0.430 0.349 0.266
0.430 0.580 0.164
0.570 0.420 0.836
0.570 0.651 0.734
0.580 0.164 0.430
0.580 0.917 0.151
0.583 0.164 0.234
0.583 0.920 0.349
0.651 0.417 0.080
0.651 0.734 0.570
0.664 0.080 0.930
0.664 0.083 0.734
0.734 0.570 0.651
0.734 0.664 0.083
0.766 0.417 0.836
0.766 0.849 0.930
0.836 0.570 0.420
0.836 0.766 0.417
0.849 0.420 0.083
0.849 0.930 0.766
0.917 0.151 0.580
0.917 0.266 0.336
0.920 0.070 0.336
0.920 0.349 0.583
0.930 0.664 0.080
0.930 0.766 0.849
0.000 0.000 0.000
0.000 0.000 0.500
0.000 0.500 0.000
0.000 0.500 0.500
0.125 0.750 0.875
0.125 0.875 0.250
0.250 0.125 0.875
0.250 0.625 0.375
0.375 0.250 0.625
0.375 0.625 0.750
0.500 0.000 0.000
0.500 0.000 0.500
0.500 0.500 0.000
0.500 0.500 0.500
0.625 0.375 0.250
0.625 0.750 0.375
0.750 0.375 0.625
0.750 0.875 0.125
0.875 0.125 0.750
0.875 0.250 0.125
0.125 0.250 0.375
0.125 0.375 0.750
0.250 0.375 0.125
0.250 0.875 0.625
0.375 0.125 0.250
0.375 0.750 0.125
0.625 0.250 0.875
0.625 0.875 0.750
0.750 0.125 0.375
0.750 0.625 0.875
0.875 0.625 0.250
0.875 0.750 0.625
```

## Properties
Formation energy from raw total energies in eV per atom: 0.1149
Fermi-level density of states in states/eV/cell: 53.12
Space group: Ia-3d
Spin magnetization in μB/cell: 0.000
ρ in g/cm3: 5.14

# 3
# Ca2NpTl3Te6

Ca2NpTl3Te6 after structural relaxation (PBE-GGA, Alexandria).

```
Ca2NpTl3Te6
1.0
3.916 -6.755 0.000
3.916 6.755 0.000
-2.589 0.000 8.067
Ca Np Tl Te
2 1 3 6
direct
0.165 0.835 0.000
0.835 0.165 0.000
0.500 0.500 0.000
0.000 0.000 0.500
0.331 0.669 0.500
0.669 0.331 0.500
0.114 0.429 0.785
0.259 0.259 0.221
0.429 0.114 0.785
0.571 0.886 0.215
0.741 0.741 0.779
0.886 0.571 0.215
```

## Properties
Formation energy from raw total energies in eV per atom: -0.8158
Fermi-level density of states in states/eV/cell: 9.41
Space group: C2/m
Spin magnetization in μB/cell: 2.100
ρ in g/cm3: 6.60

# 4
# TmAgSn

TmAgSn after structural relaxation (PBE-GGA, Alexandria).

```
TmAgSn
1.0
-2.396 10.385 4.181
2.396 -10.385 4.181
2.396 10.385 -4.181
Tm Ag Sn
6 6 6
direct
0.000 0.000 0.000
0.183 0.017 0.166
0.340 0.007 0.333
0.526 0.026 0.500
0.674 0.007 0.667
0.851 0.017 0.834
0.080 0.344 0.736
0.088 0.681 0.407
0.274 0.681 0.593
0.580 0.676 0.904
0.609 0.344 0.264
0.772 0.676 0.096
0.270 0.346 0.924
0.422 0.346 0.076
0.426 0.678 0.748
0.761 0.346 0.415
0.930 0.678 0.252
0.932 0.346 0.585
```

## Properties
Fermi-level density of states in states/eV/cell: 7.00
Space group: Imm2
Spin magnetization in μB/cell: 0.000
ρ in g/cm3: 9.47
E_tot in eV/cell: -76.8

# 5
# LiGa2SbSe6

LiGa2SbSe6 after structural relaxation (PBE-GGA, Alexandria).

```
LiGa2SbSe6
1.0
6.026 -6.220 0.000
6.026 6.220 0.000
-1.755 0.000 7.009
Li Ga Sb Se
2 4 2 12
direct
0.101 0.899 0.750
0.899 0.101 0.250
0.211 0.420 0.759
0.420 0.211 0.259
0.580 0.789 0.741
0.789 0.580 0.241
0.224 0.776 0.250
0.776 0.224 0.750
0.050 0.184 0.628
0.074 0.638 0.860
0.184 0.050 0.128
0.359 0.462 0.451
0.362 0.926 0.640
0.462 0.359 0.951
0.538 0.641 0.049
0.638 0.074 0.360
0.641 0.538 0.549
0.816 0.950 0.872
0.926 0.362 0.140
0.950 0.816 0.372
```

## Properties
Formation energy from raw total energies in eV per atom: -0.4464
Space group: C2/c
Spin magnetization in μB/cell: 0.000
ρ in g/cm3: 4.69

# 6
# AgHgPtF6

AgHgPtF6 after structural relaxation (PBE-GGA, Alexandria).

```
AgHgPtF6
1.0
6.255 0.000 0.000
-3.127 5.417 0.000
0.000 0.000 8.636
Ag Hg Pt F
2 2 2 12
direct
0.000 0.000 0.000
0.000 0.000 0.500
0.333 0.667 0.250
0.667 0.333 0.750
0.333 0.667 0.750
0.667 0.333 0.250
0.072 0.397 0.623
0.072 0.675 0.877
0.325 0.397 0.877
0.325 0.928 0.623
0.397 0.072 0.123
0.397 0.325 0.377
0.603 0.675 0.623
0.603 0.928 0.877
0.675 0.072 0.377
0.675 0.603 0.123
0.928 0.325 0.123
0.928 0.603 0.377
```

## Properties
Formation energy from raw total energies in eV per atom: -1.1903
Fermi-level density of states in states/eV/cell: 5.66
Space group: P-31c
Spin magnetization in μB/cell: 0.000
ρ in g/cm3: 7.01